# PmPSe

PmPSe after structural relaxation (PBE-GGA, Alexandria via LeMat-Bulk).

Unit cell a=7.3984 b=4.2676 c=11.3923 alpha=90.00 beta=106.70 gamma=90.00
Closest atoms and distances in Å follow each position.
Space group C2/m (No. 12)
Unique sites:
Pm (0.0456, 0.0000, 0.2010)  3 Se 2.84-2.85, 4 P 3.05-3.16
P (0.1985, 0.5000, 0.9781)  2 P 2.27
Se (0.2280, 0.0000, 0.6681)  3 Pm 2.84-2.85

Calculated values
ΔE_f (raw) = -3.5 eV/f.u.
Excess energy over the best structure of this formula in the dataset = 296 meV/atom


# Pm8PSe6

Pm8PSe6 after structural relaxation (PBE-GGA, Alexandria via LeMat-Bulk).

Unit cell a=10.4913 b=10.4913 c=4.2709 alpha=90.00 beta=90.00 gamma=120.00
Closest atoms and distances in Å follow each position.
Space group P-3 (No. 147)
Unique sites:
Pm (0.0292, 0.7248, 0.2617)  3 Se 2.86-2.93
Pm (0.3333, 0.6667, 0.7456)  6 Se 2.98
P (0.0000, 0.0000, 0.5000)  6 Pm 3.22
Se (0.1270, 0.4785, 0.2456)  5 Pm 2.86-2.98

Calculated values
ΔE_f (raw) = -20.4 eV/f.u.


# Pm3P2Se

Pm3P2Se after structural relaxation (PBE-GGA, Alexandria via LeMat-Bulk).

Unit cell a=7.3806 b=11.0019 c=8.9000 alpha=90.00 beta=90.00 gamma=90.00
Closest atoms and distances in Å follow each position.
Space group Imma (No. 74)
Unique sites:
Pm (0.2295, 0.0000, 0.0000)  4 P 2.79-3.13
Pm (0.2500, 0.2500, 0.2500)  4 P 2.90, 2 Se 3.14
P (0.0000, 0.0490, 0.2888)  6 Pm 2.79-3.13
Se (0.0000, 0.2500, 0.9642)  6 Pm 3.14-3.25

Calculated values
ΔE_f (raw) = -7.0 eV/f.u.
Excess energy over the best structure of this formula in the dataset = 568 meV/atom


Question: Which formula does entry 1 have?
Answer: PmPSe


Question: What is the formula in the first record?
Answer: PmPSe


Question: The lowest ΔE_f (raw) belongs to which entry?
Answer: Pm8PSe6


Question: What is the ΔE_f (raw) in the first record?
Answer: -3.5 eV/f.u.